Entry from Alexandria: crystalline RbCoF3 at its relaxed geometry (GGA+U).

Computed properties:
The value obtained for the density is 4.2 g cm⁻³. For the total energy, the calculation gives -23.48 eV/f.u. The space group is P2_1/c, No. 14. The total magnetization comes out at 0.600 μB per atom.

Cell: 5.550 7.938 8.790 Å, 123.88 90.00 90.00°
Last column: magnetic moment on the atom in μB.
Fractional positions:
Rb  0.769  0.011  0.635  0.00
Rb  0.231  0.989  0.365  0.00
Rb  0.269  0.489  0.865  0.00
Rb  0.731  0.511  0.135  0.00
Co  0.257  0.466  0.389  2.79
Co  0.743  0.534  0.611  2.79
Co  0.757  0.034  0.111  2.79
Co  0.243  0.966  0.889  2.79
F  0.068  0.690  0.640  0.07
F  0.932  0.310  0.360  0.07
F  0.568  0.810  0.860  0.07
F  0.432  0.190  0.140  0.07
F  0.575  0.637  0.475  0.06
F  0.425  0.363  0.525  0.06
F  0.075  0.863  0.025  0.06
F  0.925  0.137  0.975  0.06
F  0.200  0.576  0.238  0.04
F  0.800  0.424  0.762  0.04
F  0.700  0.924  0.262  0.04
F  0.300  0.076  0.738  0.04